This record from Alexandria via LeMat-Bulk describes a relaxed Pr2Dy4Tm7 crystal. The functional is GGA-PBE.

abc: 6.0231 6.0231 13.3754
angles: 90.00 90.00 120.00
Last column: nearest neighbours and their distance in Å.
Space group P-31m (No. 162)
One atom of each set of equivalent atoms:
Pr: 0.3333 0.6667 0.0000 x2  9 Tm 3.48, 3 Pr 3.48
Dy: 0.0000 0.0000 0.3953 x2  1 Dy 2.80
Dy: 0.3333 0.6667 0.5000 x2  9 Dy 3.48-3.75
Tm: 0.0000 0.0000 0.0000 x1  6 Pr 3.48, 6 Tm 3.56
Tm: 0.0000 0.3476 0.7850 x6  1 Dy 3.19, 5 Tm 3.41-3.56, 2 Pr 3.48

Values from the calculation:
formation energy from the elements = 18.47 kJ/mol of atoms
uncorrected energy = -4.368 eV per atom